[1]
U2AsSe6 after structural relaxation, computed with PBE.

Values from the calculation:
D(E_F)   9.93 states/eV/f.u.
DFT total energy   -6.13 eV per atom
Total magnetic moment   3.000 μB per cell

```
data_U2AsSe6
_chemical_formula_sum 'U2 As1 Se6'
_symmetry_space_group_name_H-M 'P 1'
_symmetry_Int_Tables_number 1
_cell_length_a 4.0578
_cell_length_b 8.2170
_cell_length_c 9.1081
_cell_angle_alpha 103.67
_cell_angle_beta 102.87
_cell_angle_gamma 90.00
loop_
_symmetry_equiv_pos_as_xyz
'x,y,z'
loop_
_atom_site_label
_atom_site_fract_x
_atom_site_fract_y
_atom_site_fract_z
_atom_site_occupancy
U1 0.8369 0.6776 0.6739 1
U2 0.1631 0.3224 0.3261 1
Se1 0.9952 0.7710 0.9903 1
Se2 0.6582 0.0873 0.3164 1
Se3 0.3418 0.9127 0.6836 1
Se4 0.6728 0.5662 0.3456 1
Se5 0.0048 0.2290 0.0097 1
Se6 0.3272 0.4338 0.6544 1
As1 0.5000 0.0000 0.0000 1
```

[2]
KSiSe2Br after structural relaxation, computed with PBE.

Values from the calculation:
D(E_F)   1.07 states/eV/f.u.
DFT total energy   -3.53 eV per atom
Total magnetic moment   0.000 μB per cell

```
data_KSiSe2Br
_chemical_formula_sum 'K1 Si1 Se2 Br1'
_symmetry_space_group_name_H-M 'P 1'
_symmetry_Int_Tables_number 1
_cell_length_a 4.8713
_cell_length_b 4.8713
_cell_length_c 5.7200
_cell_angle_alpha 90.00
_cell_angle_beta 90.00
_cell_angle_gamma 90.00
loop_
_symmetry_equiv_pos_as_xyz
'x,y,z'
loop_
_atom_site_label
_atom_site_fract_x
_atom_site_fract_y
_atom_site_fract_z
_atom_site_occupancy
Se1 0.0000 0.5000 0.0000 1
Se2 0.5000 0.0000 0.0000 1
Br1 0.0000 0.0000 0.5000 1
K1 0.5000 0.5000 0.5000 1
Si1 0.0000 0.0000 0.0000 1
```

[3]
Cu3TcH after structural relaxation, computed with PBE.

Values from the calculation:
D(E_F)   4.73 states/eV/f.u.
DFT total energy   -3.29 eV per atom
Total magnetic moment   2.133 μB per cell

```
data_Cu3TcH
_chemical_formula_sum 'Cu3 Tc1 H1'
_symmetry_space_group_name_H-M 'P 1'
_symmetry_Int_Tables_number 1
_cell_length_a 4.7218
_cell_length_b 4.7218
_cell_length_c 4.7218
_cell_angle_alpha 90.00
_cell_angle_beta 90.00
_cell_angle_gamma 90.00
loop_
_symmetry_equiv_pos_as_xyz
'x,y,z'
loop_
_atom_site_label
_atom_site_fract_x
_atom_site_fract_y
_atom_site_fract_z
_atom_site_occupancy
Cu1 0.5000 0.0000 0.0000 1
Cu2 0.0000 0.0000 0.5000 1
Cu3 0.0000 0.5000 0.0000 1
H1 0.5000 0.5000 0.5000 1
Tc1 0.0000 0.0000 0.0000 1
```

[4]
CsNa3Ge after structural relaxation, computed with PBE.

Values from the calculation:
D(E_F)   0.45 states/eV/f.u.
DFT formation energy   -0.0101 eV per atom
DFT total energy   -1.90 eV per atom
Total magnetic moment   0.000 μB per cell

```
data_CsNa3Ge
_chemical_formula_sum 'Cs1 Na3 Ge1'
_symmetry_space_group_name_H-M 'P 1'
_symmetry_Int_Tables_number 1
_cell_length_a 5.8578
_cell_length_b 5.8578
_cell_length_c 5.8578
_cell_angle_alpha 90.00
_cell_angle_beta 90.00
_cell_angle_gamma 90.00
loop_
_symmetry_equiv_pos_as_xyz
'x,y,z'
loop_
_atom_site_label
_atom_site_fract_x
_atom_site_fract_y
_atom_site_fract_z
_atom_site_occupancy
Cs1 0.5000 0.5000 0.5000 1
Na1 0.0000 0.0000 0.5000 1
Na2 0.0000 0.5000 0.0000 1
Na3 0.5000 0.0000 0.0000 1
Ge1 0.0000 0.0000 0.0000 1
```

Look up the total magnetic moment of the first one.
3.000 μB per cell